Model A:
Material: NdZr9O20
Method: DFT, PBE
State: relaxed

Calculated volume (Å³/cell): 365

Cell and atoms, written as extended XYZ:
```
30
Lattice="6.409 0.000 0.000 2.445 7.002 0.000 1.898 1.726 8.128" Properties=species:S:1:pos:R:3 pbc="T T T"
Nd 0.000 0.000 0.000
Zr 3.150 3.191 4.924
Zr 4.430 6.752 4.907
Zr 3.140 1.075 1.766
Zr 4.541 4.649 1.706
Zr 7.504 7.765 6.581
Zr 6.441 4.365 6.471
Zr 7.574 5.627 3.375
Zr 6.441 2.176 3.265
Zr 7.511 3.518 0.094
O 0.945 1.700 1.366
O 3.010 4.620 3.399
O 2.697 4.738 0.736
O 2.318 1.693 3.595
O 5.340 8.191 6.104
O 4.579 4.786 5.589
O 3.080 2.465 0.045
O 4.846 6.508 0.413
O 5.245 6.155 3.018
O 4.595 2.643 2.280
O 4.951 2.129 4.902
O 6.803 6.198 5.232
O 7.237 5.755 7.845
O 6.272 2.423 7.172
O 7.403 7.041 1.883
O 6.715 4.185 1.977
O 7.216 3.657 4.554
O 9.042 7.214 3.991
O 9.396 6.835 6.721
O 8.681 3.811 6.756
```



Model B:
Material: NdZr9O20
Method: DFT, PBE
State: relaxed

Calculated volume (Å³/cell): 351

Cell and atoms, written as extended XYZ:
```
30
Lattice="6.369 0.000 0.000 -2.121 7.040 0.000 -1.059 -2.248 7.836" Properties=species:S:1:pos:R:3 pbc="T T T"
Nd 0.000 0.000 0.000
Zr -1.060 3.520 0.000
Zr 0.003 1.923 3.150
Zr -1.043 5.436 3.144
Zr 1.054 0.322 6.259
Zr 0.002 3.824 6.272
Zr 3.187 0.968 1.564
Zr 2.135 4.470 1.577
Zr 4.232 -0.644 4.692
Zr 3.186 2.869 4.686
O -1.089 -0.213 6.589
O -2.056 3.090 6.572
O -0.022 -0.017 4.282
O -1.052 3.524 4.265
O 0.075 3.847 1.953
O 1.149 0.354 2.068
O 0.035 1.908 7.451
O 1.180 -1.560 7.398
O 1.035 2.208 5.074
O 2.090 -1.276 5.062
O 1.099 6.068 2.774
O 2.154 2.584 2.762
O 2.009 6.352 0.438
O 3.154 2.884 0.385
O 2.040 4.438 5.768
O 3.114 0.945 5.883
O 4.241 1.268 3.572
O 3.211 4.809 3.555
O 5.245 1.702 1.264
O 4.278 5.005 1.247
```



Stability ranking, top entry: model A; the second entry is 0.030 eV/atom less favorable.



Model A:
Material: Nd2Os3
Method: DFT, PBE
State: relaxed

Calculated volume (Å³/cell): 109

Cell and atoms, written as extended XYZ:
```
5
Lattice="-2.196 2.630 4.732 2.196 -2.630 4.732 2.196 2.630 -4.732" Properties=species:S:1:pos:R:3 pbc="T T T"
Nd 0.000 0.000 1.840
Nd 0.000 0.000 7.623
Os 2.196 1.223 0.000
Os 0.000 2.630 0.000
Os 0.000 1.407 4.732
```



Model B:
Material: Nd2Os3
Method: DFT, PBE
State: relaxed

Calculated volume (Å³/cell): 220

Cell and atoms, written as extended XYZ:
```
10
Lattice="2.550 -5.281 0.000 2.550 5.281 0.000 0.000 0.000 8.165" Properties=species:S:1:pos:R:3 pbc="T T T"
Nd 2.550 3.652 7.382
Nd 2.550 1.630 3.299
Nd 2.550 -1.630 4.866
Nd 2.550 -3.652 0.783
Os 0.000 0.000 4.083
Os 1.275 0.988 6.124
Os 1.275 -0.988 2.041
Os 2.550 0.000 0.000
Os 3.825 0.988 6.124
Os 3.825 -0.988 2.041
```



Stability ranking, top entry: model A; the second entry is 0.035 eV/atom less favorable.



Model A:
Material: NdPa2Os
Method: DFT, PBE
State: relaxed

Calculated volume (Å³/cell): 117

Cell and atoms, written as extended XYZ:
```
4
Lattice="1.845 1.065 9.881 -1.845 1.065 9.881 0.000 -2.131 9.881" Properties=species:S:1:pos:R:3 pbc="T T T"
Nd 0.000 0.000 0.000
Pa 0.000 0.000 3.219
Pa 0.000 0.000 26.423
Os 0.000 0.000 14.821
```



Model B:
Material: NdPa2Os
Method: DFT, PBE
State: relaxed

Calculated volume (Å³/cell): 101

Cell and atoms, written as extended XYZ:
```
4
Lattice="3.614 0.000 0.000 0.000 3.614 0.000 0.000 0.000 7.761" Properties=species:S:1:pos:R:3 pbc="T T T"
Nd 0.000 0.000 0.000
Pa 1.807 1.807 2.434
Pa 1.807 1.807 5.327
Os 0.000 0.000 3.881
```



Stability ranking, top entry: model B; the second entry is 0.284 eV/atom less favorable.



Model A:
Material: Pm2NdOs
Method: DFT, PBE
State: relaxed

Calculated volume (Å³/cell): 117

Cell and atoms, written as extended XYZ:
```
4
Lattice="3.487 0.000 0.000 0.000 3.487 0.000 0.000 0.000 9.642" Properties=species:S:1:pos:R:3 pbc="T T T"
Pm 0.000 0.000 1.709
Pm 0.000 0.000 7.933
Nd 1.743 1.743 4.821
Os 1.743 1.743 0.000
```



Model B:
Material: Pm2NdOs
Method: DFT, PBE
State: relaxed

Calculated volume (Å³/cell): 466

Cell and atoms, written as extended XYZ:
```
16
Lattice="7.491 0.000 0.000 0.000 9.544 0.000 0.000 0.000 6.518" Properties=species:S:1:pos:R:3 pbc="T T T"
Pm 1.310 0.629 1.102
Pm 1.310 4.143 1.102
Pm 2.436 5.401 4.361
Pm 2.436 8.915 4.361
Pm 5.055 0.629 2.157
Pm 5.055 4.143 2.157
Pm 6.181 5.401 5.416
Pm 6.181 8.915 5.416
Nd 0.315 2.386 4.159
Nd 3.431 7.158 0.900
Nd 4.060 2.386 5.618
Nd 7.176 7.158 2.359
Os 0.855 7.158 6.187
Os 2.890 2.386 2.928
Os 4.601 7.158 3.590
Os 6.636 2.386 0.331
```



Model C:
Material: Pm2NdOs
Method: DFT, PBE
State: relaxed

Calculated volume (Å³/cell): 108

Cell and atoms, written as extended XYZ:
```
4
Lattice="2.414 1.394 5.331 -2.414 1.394 5.331 0.000 -2.788 5.331" Properties=species:S:1:pos:R:3 pbc="T T T"
Pm 0.000 0.000 3.669
Pm 0.000 0.000 12.323
Nd 0.000 0.000 0.000
Os 0.000 0.000 7.996
```



Stability ranking, top entry: model B; the second entry is 0.140 eV/atom less favorable.



Model A:
Material: PrNd2Os
Method: DFT, PBE
State: relaxed

Calculated volume (Å³/cell): 477

Cell and atoms, written as extended XYZ:
```
16
Lattice="7.516 0.000 0.000 0.000 9.674 0.000 0.000 0.000 6.561" Properties=species:S:1:pos:R:3 pbc="T T T"
Pr 0.320 2.419 0.922
Pr 3.438 7.256 4.202
Pr 4.078 2.419 2.359
Pr 7.196 7.256 5.640
Nd 1.312 0.644 4.393
Nd 1.312 4.193 4.393
Nd 2.446 5.482 1.113
Nd 2.446 9.030 1.113
Nd 5.071 0.644 5.449
Nd 5.071 4.193 5.449
Nd 6.204 5.482 2.168
Nd 6.204 9.030 2.168
Os 0.857 7.256 2.929
Os 2.901 2.419 6.209
Os 4.615 7.256 0.352
Os 6.659 2.419 3.633
```



Model B:
Material: PrNd2Os
Method: DFT, PBE
State: relaxed

Calculated volume (Å³/cell): 120

Cell and atoms, written as extended XYZ:
```
4
Lattice="3.512 0.000 0.000 0.000 3.512 0.000 0.000 0.000 9.746" Properties=species:S:1:pos:R:3 pbc="T T T"
Pr 0.000 0.000 0.000
Nd 1.756 1.756 3.152
Nd 1.756 1.756 6.593
Os 0.000 0.000 4.873
```



Model C:
Material: PrNd2Os
Method: DFT, PBE
State: relaxed

Calculated volume (Å³/cell): 141

Cell and atoms, written as extended XYZ:
```
4
Lattice="1.945 1.123 10.741 -1.945 1.123 10.741 0.000 -2.246 10.741" Properties=species:S:1:pos:R:3 pbc="T T T"
Pr 0.000 0.000 0.000
Nd 0.000 0.000 3.683
Nd 0.000 0.000 28.541
Os 0.000 0.000 16.112
```



Stability ranking, top entry: model A; the second entry is 0.144 eV/atom less favorable.



Model A:
Material: Nd8OsPt2
Method: DFT, PBE
State: relaxed

Calculated volume (Å³/cell): 316

Cell and atoms, written as extended XYZ:
```
11
Lattice="8.961 -2.553 0.000 8.961 2.553 0.000 -1.145 0.000 6.901" Properties=species:S:1:pos:R:3 pbc="T T T"
Nd 0.285 0.000 1.972
Nd 2.698 0.000 5.729
Nd 5.432 0.000 3.703
Nd 7.336 0.000 0.481
Nd 9.442 0.000 6.420
Nd 11.346 0.000 3.198
Nd 14.079 0.000 1.171
Nd 16.492 0.000 4.928
Os 8.389 0.000 3.450
Pt 3.338 0.000 1.646
Pt 13.440 0.000 5.255
```



Model B:
Material: Nd8OsPt2
Method: DFT, PBE
State: relaxed

Calculated volume (Å³/cell): 334

Cell and atoms, written as extended XYZ:
```
11
Lattice="4.318 -6.445 0.000 4.318 6.445 0.000 -2.431 0.000 6.001" Properties=species:S:1:pos:R:3 pbc="T T T"
Nd 0.000 0.000 0.000
Nd -0.166 1.687 3.328
Nd 2.543 2.538 1.117
Nd -0.166 -1.687 3.328
Nd 2.960 1.693 4.754
Nd 2.543 -2.538 1.117
Nd 2.960 -1.693 4.754
Nd 5.138 0.000 2.261
Os 2.109 0.000 2.328
Pt 1.400 4.081 4.117
Pt 1.400 -4.081 4.117
```



Stability ranking, top entry: model A; the second entry is 0.067 eV/atom less favorable.



Model A:
Material: Nd8OsRh2
Method: DFT, PBE
State: relaxed

Calculated volume (Å³/cell): 313

Cell and atoms, written as extended XYZ:
```
11
Lattice="8.947 -2.557 0.000 8.947 2.557 0.000 -1.059 0.000 6.834" Properties=species:S:1:pos:R:3 pbc="T T T"
Nd 0.393 0.000 1.946
Nd 2.684 0.000 5.739
Nd 5.421 0.000 3.716
Nd 7.331 0.000 0.548
Nd 9.504 0.000 6.286
Nd 11.413 0.000 3.118
Nd 14.151 0.000 1.095
Nd 16.442 0.000 4.888
Os 8.417 0.000 3.417
Rh 3.546 0.000 1.649
Rh 13.289 0.000 5.185
```



Model B:
Material: Nd8OsRh2
Method: DFT, PBE
State: relaxed

Calculated volume (Å³/cell): 326

Cell and atoms, written as extended XYZ:
```
11
Lattice="4.207 -6.486 0.000 4.207 6.486 0.000 -2.380 0.000 5.973" Properties=species:S:1:pos:R:3 pbc="T T T"
Nd 0.000 0.000 0.000
Nd -0.198 1.692 3.366
Nd 2.464 2.623 1.112
Nd -0.198 -1.692 3.366
Nd 2.891 1.714 4.692
Nd 2.464 -2.623 1.112
Nd 2.891 -1.714 4.692
Nd 4.992 0.000 2.222
Os 2.062 0.000 2.251
Rh 1.354 4.063 4.062
Rh 1.354 -4.063 4.062
```



Stability ranking, top entry: model A; the second entry is 0.047 eV/atom less favorable.



Model A:
Material: NdScOs
Method: DFT, PBE
State: relaxed

Calculated volume (Å³/cell): 72

Cell and atoms, written as extended XYZ:
```
3
Lattice="-1.670 1.670 6.432 1.670 -1.670 6.432 1.670 1.670 -6.432" Properties=species:S:1:pos:R:3 pbc="T T T"
Nd 0.000 0.000 0.000
Sc 0.000 0.000 3.287
Os 0.000 0.000 8.292
```



Model B:
Material: NdScOs
Method: DFT, PBE
State: relaxed

Calculated volume (Å³/cell): 299

Cell and atoms, written as extended XYZ:
```
12
Lattice="6.728 0.000 0.000 0.000 6.736 0.000 -4.792 0.000 6.603" Properties=species:S:1:pos:R:3 pbc="T T T"
Nd -0.556 1.102 2.768
Nd -2.952 2.266 6.070
Nd 4.888 4.470 0.534
Nd 2.492 5.635 3.835
Sc -0.841 4.434 3.878
Sc 1.555 5.670 0.576
Sc 0.381 1.066 6.027
Sc 2.777 2.302 2.725
Os 0.634 3.551 1.841
Os -1.762 6.553 5.143
Os 3.698 0.183 1.460
Os 1.302 3.185 4.762
```



Stability ranking, top entry: model A; the second entry is 0.109 eV/atom less favorable.



Model A:
Material: Nd2SmOs
Method: DFT, PBE
State: relaxed

Calculated volume (Å³/cell): 126

Cell and atoms, written as extended XYZ:
```
4
Lattice="1.816 1.048 11.034 -1.816 1.048 11.034 0.000 -2.097 11.034" Properties=species:S:1:pos:R:3 pbc="T T T"
Nd 0.000 0.000 3.563
Nd 0.000 0.000 29.540
Sm 0.000 0.000 0.000
Os 0.000 0.000 16.552
```



Model B:
Material: Nd2SmOs
Method: DFT, PBE
State: relaxed

Calculated volume (Å³/cell): 467

Cell and atoms, written as extended XYZ:
```
16
Lattice="7.481 0.000 0.000 0.000 9.599 0.000 0.000 0.000 6.510" Properties=species:S:1:pos:R:3 pbc="T T T"
Nd 1.309 0.629 1.108
Nd 1.309 4.171 1.108
Nd 2.432 5.428 4.364
Nd 2.432 8.970 4.364
Nd 5.049 0.629 2.147
Nd 5.049 4.171 2.147
Nd 6.172 5.428 5.402
Nd 6.172 8.970 5.402
Sm 0.320 2.400 4.172
Sm 3.420 7.199 0.917
Sm 4.061 2.400 5.593
Sm 7.161 7.199 2.338
Os 0.859 7.199 6.216
Os 2.882 2.400 2.961
Os 4.599 7.199 3.550
Os 6.622 2.400 0.295
```



Model C:
Material: Nd2SmOs
Method: DFT, PBE
State: relaxed

Calculated volume (Å³/cell): 234

Cell and atoms, written as extended XYZ:
```
8
Lattice="2.039 -6.131 0.000 2.039 6.131 0.000 0.000 0.000 9.361" Properties=species:S:1:pos:R:3 pbc="T T T"
Nd 2.039 4.371 5.323
Nd 2.039 4.371 8.718
Nd 2.039 -4.371 0.643
Nd 2.039 -4.371 4.038
Sm 2.039 0.976 7.021
Sm 2.039 -0.976 2.340
Os 2.039 3.164 2.340
Os 2.039 -3.164 7.021
```



Stability ranking, top entry: model B; the second entry is 0.019 eV/atom less favorable.